Version P
Material: NdY4Tm6
Method: DFT, GGA-PBE
State: optimized geometry

Structure (POSCAR):
```
NdY4Tm6
1.0
-3.823 3.823 6.494
3.823 -3.823 6.494
3.823 3.823 -6.494
Nd Y Tm
1 4 6
Cartesian
0.000 0.000 0.000
2.532 2.532 -1.008
1.290 -1.290 7.503
1.290 1.290 5.486
-1.290 1.290 7.503
3.823 0.000 0.000
1.942 -1.942 4.136
1.881 1.881 2.359
0.000 3.823 0.000
-1.942 1.942 4.136
1.942 1.942 8.853
```

Output
DOS at the Fermi energy ... 1.627 states/eV per atom
Symmetry ... I-42m, No. 121

***

Version Q
Material: NdY4Tm6
Method: DFT, GGA-PBE
State: optimized geometry

Structure (POSCAR):
```
NdY4Tm6
1.0
-3.272 3.272 8.469
3.272 -3.272 8.469
3.272 3.272 -8.469
Nd Y Tm
1 4 6
Cartesian
0.000 0.000 0.000
1.226 1.226 -2.952
2.046 -2.046 11.421
2.046 2.046 5.517
-2.046 2.046 11.421
3.272 0.000 0.000
1.170 -1.170 6.287
2.102 2.102 2.182
0.000 3.272 0.000
-1.170 1.170 6.287
1.170 1.170 10.651
```

Output
DOS at the Fermi energy ... 1.386 states/eV per atom
Symmetry ... I-42m, No. 121

***

Which of them is the most stable? Correct choice: version Q.